No. 1
TiNb2Cl6 | PBE-GGA | relaxed

Results
Calculated volume   398.4 Å³ per cell
Formation energy without anion corrections   -1.05 eV/atom
E_tot   -0.1984 Ha/atom
Energy above the lowest structure with this stoichiometry   0.0 meV per atom

CIF file:
```
data_TiNb2Cl6
_chemical_formula_sum 'Ti2 Nb4 Cl12'
_cell_length_a 13.1247
_cell_length_b 3.4887
_cell_length_c 8.7268
_cell_angle_alpha 90.00
_cell_angle_beta 94.47
_cell_angle_gamma 90.00
_symmetry_space_group_name_H-M 'C 1 2/m 1'
_symmetry_Int_Tables_number 12
loop_
_symmetry_equiv_pos_as_xyz
'x,y,z'
'-x,-y,-z'
'-x,y,-z'
'x,-y,z'
'x+1/2,y+1/2,z'
'-x+1/2,-y+1/2,-z'
'-x+1/2,y+1/2,-z'
'x+1/2,-y+1/2,z'
loop_
_atom_site_label
_atom_site_fract_x
_atom_site_fract_y
_atom_site_fract_z
Ti1 0.0000 0.0000 0.0000
Nb1 0.2477 0.0000 0.6214
Cl1 0.0799 0.5000 0.1855
Cl2 0.1170 0.5000 0.5571
Cl3 0.1602 0.0000 0.8762
```


No. 2
Nb4TlCl7 | PBE-GGA | relaxed

Results
Calculated volume   562.0 Å³ per cell
Formation energy without anion corrections   -0.59 eV/atom
E_tot   -0.1920 Ha/atom

CIF file:
```
data_Nb4TlCl7
_chemical_formula_sum 'Nb8 Tl2 Cl14'
_cell_length_a 17.6707
_cell_length_b 6.0369
_cell_length_c 5.2687
_cell_angle_alpha 90.00
_cell_angle_beta 90.00
_cell_angle_gamma 90.00
_symmetry_space_group_name_H-M 'P m n 21'
_symmetry_Int_Tables_number 31
loop_
_symmetry_equiv_pos_as_xyz
'x,y,z'
'-x+1/2,-y,z+1/2'
'-x,y,z'
'x+1/2,-y,z+1/2'
loop_
_atom_site_label
_atom_site_fract_x
_atom_site_fract_y
_atom_site_fract_z
Nb1 0.1416 0.1977 0.0000
Nb2 0.2432 0.9001 0.0081
Tl1 0.0000 0.7339 0.4891
Cl1 0.0000 0.0777 0.9958
Cl2 0.1097 0.1962 0.4942
Cl3 0.1261 0.6439 0.9479
Cl4 0.2260 0.6804 0.4225
```


No. 3
Nb3TlCl | PBE-GGA | relaxed

Results
Calculated volume   141.8 Å³ per cell
Formation energy without anion corrections   2.19 eV/atom
E_tot   -0.1724 Ha/atom
Energy above the lowest structure with this stoichiometry   1603.5 meV per atom

CIF file:
```
data_Nb3TlCl
_chemical_formula_sum 'Nb3 Tl1 Cl1'
_cell_length_a 5.2152
_cell_length_b 5.2152
_cell_length_c 5.2152
_cell_angle_alpha 90.00
_cell_angle_beta 90.00
_cell_angle_gamma 90.00
_symmetry_space_group_name_H-M 'P m -3 m'
_symmetry_Int_Tables_number 221
_symmetry_space_group_name_Hall '-P 4 2 3'
loop_
_atom_site_label
_atom_site_fract_x
_atom_site_fract_y
_atom_site_fract_z
Nb1 0.0000 0.0000 0.5000
Tl1 0.0000 0.0000 0.0000
Cl1 0.5000 0.5000 0.5000
```


No. 4
Nb6TlCl15 | PBE-GGA | relaxed

Results
Calculated volume   2406.2 Å³ per cell
Formation energy without anion corrections   -1.25 eV/atom
E_tot   -0.1972 Ha/atom

CIF file:
```
data_Nb6TlCl15
_chemical_formula_sum 'Nb24 Tl4 Cl60'
_cell_length_a 18.3147
_cell_length_b 13.6479
_cell_length_c 9.6264
_cell_angle_alpha 90.00
_cell_angle_beta 90.00
_cell_angle_gamma 90.00
_symmetry_space_group_name_H-M 'P m m a'
_symmetry_Int_Tables_number 51
loop_
_symmetry_equiv_pos_as_xyz
'x,y,z'
'-x,-y,-z'
'-x+1/2,-y,z'
'x+1/2,y,-z'
'x+1/2,-y,-z'
'-x+1/2,y,z'
'-x,y,-z'
'x,-y,z'
loop_
_atom_site_label
_atom_site_fract_x
_atom_site_fract_y
_atom_site_fract_z
Nb1 0.0301 0.1084 0.1423
Nb2 0.1042 0.0000 0.9193
Nb3 0.1693 0.3914 0.3201
Nb4 0.2500 0.5000 0.1078
Nb5 0.2500 0.5000 0.5342
Tl1 0.2500 0.2458 0.8092
Cl1 0.0000 0.2525 0.0000
Cl2 0.0612 0.5000 0.3189
Cl3 0.0672 0.2500 0.3224
Cl4 0.0707 0.0000 0.3332
Cl5 0.0896 0.1263 0.7359
Cl6 0.1540 0.3746 0.5756
Cl7 0.1552 0.3759 0.0651
Cl8 0.1589 0.1239 0.0721
Cl9 0.2500 0.0000 0.8142
Cl10 0.2500 0.2470 0.3295
Cl11 0.2500 0.5000 0.8196
```


No. 5
Nb3Tl2Cl9 | PBE-GGA | relaxed

Results
Calculated volume   1580.7 Å³ per cell
Formation energy without anion corrections   -1.22 eV/atom
E_tot   -0.1803 Ha/atom

CIF file:
```
data_Nb3Tl2Cl9
_chemical_formula_sum 'Nb12 Tl8 Cl36'
_cell_length_a 10.3866
_cell_length_b 17.1119
_cell_length_c 9.7953
_cell_angle_alpha 90.00
_cell_angle_beta 114.78
_cell_angle_gamma 90.00
_symmetry_space_group_name_H-M 'C 1 2/m 1'
_symmetry_Int_Tables_number 12
loop_
_symmetry_equiv_pos_as_xyz
'x,y,z'
'-x,-y,-z'
'-x,y,-z'
'x,-y,z'
'x+1/2,y+1/2,z'
'-x+1/2,-y+1/2,-z'
'-x+1/2,y+1/2,-z'
'x+1/2,-y+1/2,z'
loop_
_atom_site_label
_atom_site_fract_x
_atom_site_fract_y
_atom_site_fract_z
Nb1 0.1210 0.0000 0.3751
Nb2 0.1304 0.0858 0.6403
Tl1 0.1115 0.3400 0.8301
Cl1 0.0000 0.2030 0.5000
Cl2 0.0117 0.1015 0.8110
Cl3 0.1903 0.5000 0.1703
Cl4 0.2014 0.3057 0.1771
Cl5 0.2046 0.3978 0.4818
Cl6 0.2270 0.5000 0.7804
```


No. 6
NbTlCl3 | PBE-GGA | relaxed

Results
Calculated volume   164.0 Å³ per cell
Formation energy without anion corrections   0.39 eV/atom
E_tot   -0.1177 Ha/atom
Energy above the lowest structure with this stoichiometry   1422.2 meV per atom

CIF file:
```
data_NbTlCl3
_chemical_formula_sum 'Nb1 Tl1 Cl3'
_cell_length_a 5.4738
_cell_length_b 5.4738
_cell_length_c 5.4738
_cell_angle_alpha 90.00
_cell_angle_beta 90.00
_cell_angle_gamma 90.00
_symmetry_space_group_name_H-M 'P m -3 m'
_symmetry_Int_Tables_number 221
_symmetry_space_group_name_Hall '-P 4 2 3'
loop_
_atom_site_label
_atom_site_fract_x
_atom_site_fract_y
_atom_site_fract_z
Nb1 0.0000 0.0000 0.0000
Tl1 0.5000 0.5000 0.5000
Cl1 0.0000 0.5000 0.5000
```


No. 7
NbTl3Cl8 | PBE-GGA | relaxed

Results
Calculated volume   707.9 Å³ per cell
Formation energy without anion corrections   -1.07 eV/atom
E_tot   -0.1373 Ha/atom

CIF file:
```
data_NbTl3Cl8
_chemical_formula_sum 'Nb2 Tl6 Cl16'
_cell_length_a 9.5552
_cell_length_b 9.5552
_cell_length_c 8.9526
_cell_angle_alpha 90.00
_cell_angle_beta 90.00
_cell_angle_gamma 120.00
_symmetry_space_group_name_H-M 'P 63 m c'
_symmetry_Int_Tables_number 186
_symmetry_space_group_name_Hall 'P 6c -2c'
loop_
_atom_site_label
_atom_site_fract_x
_atom_site_fract_y
_atom_site_fract_z
Nb1 0.3333 0.6667 0.0000
Tl1 0.1476 0.2952 0.5991
Cl1 0.0000 0.0000 0.3496
Cl2 0.0561 0.5280 0.9278
Cl3 0.2195 0.4390 0.1883
Cl4 0.3333 0.6667 0.7046
```


No. 8
NbTl2Cl7 | PBE-GGA | relaxed

Results
Calculated volume   1283.3 Å³ per cell
Formation energy without anion corrections   -1.08 eV/atom
E_tot   -0.1418 Ha/atom

CIF file:
```
data_NbTl2Cl7
_chemical_formula_sum 'Nb4 Tl8 Cl28'
_cell_length_a 16.4022
_cell_length_b 7.9733
_cell_length_c 12.4595
_cell_angle_alpha 90.00
_cell_angle_beta 128.04
_cell_angle_gamma 90.00
_symmetry_space_group_name_H-M 'C 1 2/c 1'
_symmetry_Int_Tables_number 15
loop_
_symmetry_equiv_pos_as_xyz
'x,y,z'
'-x,-y,-z'
'-x,y,-z+1/2'
'x,-y,z+1/2'
'x+1/2,y+1/2,z'
'-x+1/2,-y+1/2,-z'
'-x+1/2,y+1/2,-z+1/2'
'x+1/2,-y+1/2,z+1/2'
loop_
_atom_site_label
_atom_site_fract_x
_atom_site_fract_y
_atom_site_fract_z
Nb1 0.0000 0.2181 0.2500
Tl1 0.1234 0.2543 0.0403
Cl1 0.0000 0.1103 0.7500
Cl2 0.0544 0.4681 0.1886
Cl3 0.0765 0.1584 0.4879
Cl4 0.1717 0.1407 0.3272
```


What did the third record say?
Nb3TlCl | PBE-GGA | relaxed

Results
Calculated volume   141.8 Å³ per cell
Formation energy without anion corrections   2.19 eV/atom
E_tot   -0.1724 Ha/atom
Energy above the lowest structure with this stoichiometry   1603.5 meV per atom

CIF file:
```
data_Nb3TlCl
_chemical_formula_sum 'Nb3 Tl1 Cl1'
_cell_length_a 5.2152
_cell_length_b 5.2152
_cell_length_c 5.2152
_cell_angle_alpha 90.00
_cell_angle_beta 90.00
_cell_angle_gamma 90.00
_symmetry_space_group_name_H-M 'P m -3 m'
_symmetry_Int_Tables_number 221
_symmetry_space_group_name_Hall '-P 4 2 3'
loop_
_atom_site_label
_atom_site_fract_x
_atom_site_fract_y
_atom_site_fract_z
Nb1 0.0000 0.0000 0.5000
Tl1 0.0000 0.0000 0.0000
Cl1 0.5000 0.5000 0.5000
```